# NaV2O4

Crystalline NaV2O4 at its relaxed geometry (PBE+U, the Alexandria database).

Values from the calculation:
**Energy relative to the lowest polymorph listed for this composition**: 0 meV/atom
**Crystal system**: orthorhombic

a = 3.0362 Å, b = 9.2006 Å, c = 10.6947 Å
α = 90.00°, β = 90.00°, γ = 90.00°
Space group Pmn2_1 (No. 31)
Unique sites:
1 Na 0.0000 0.0034 0.0000 (multiplicity 2)
2 Na 0.0000 0.5065 0.8028 (multiplicity 2)
3 V 0.0000 0.1715 0.2595 (multiplicity 2)
4 V 0.0000 0.1848 0.7614 (multiplicity 2)
5 V 0.0000 0.6724 0.5476 (multiplicity 2)
6 V 0.0000 0.6772 0.0421 (multiplicity 2)
7 O 0.0000 0.1741 0.5889 (multiplicity 2)
8 O 0.0000 0.2677 0.9353 (multiplicity 2)
9 O 0.0000 0.3651 0.1668 (multiplicity 2)
10 O 0.0000 0.4697 0.5038 (multiplicity 2)
11 O 0.0000 0.6749 0.2310 (multiplicity 2)
12 O 0.0000 0.7683 0.8743 (multiplicity 2)
13 O 0.0000 0.8593 0.6291 (multiplicity 2)
14 O 0.0000 0.9510 0.3028 (multiplicity 2)